MnBeSi: optimized geometry, PBEsol.

The structure in CIF format:
```
data_MnBeSi
_symmetry_space_group_name_H-M 'F -4 3 m'
_symmetry_Int_Tables_number 216
_symmetry_space_group_name_Hall 'F -4 2 3'
_cell_length_a 5.206
_cell_length_b 5.206
_cell_length_c 5.206
_cell_angle_alpha 90.00
_cell_angle_beta 90.00
_cell_angle_gamma 90.00
loop_
_atom_site_label
_atom_site_type_symbol
_atom_site_fract_x
_atom_site_fract_y
_atom_site_fract_z
_atom_site_occupancy
Mn1 Mn 0.000 0.000 0.000 1
Be1 Be 0.250 0.250 0.250 1
Si1 Si 0.000 0.000 0.500 1
```

Formation energy (no corrections): 0.3 eV/f.u.
Volume: 141.1 Å³ per cell
N(E_F): 0.55 states/eV/atom
Crystal system: cubic



Ba3Rh: optimized geometry, PBEsol.

The structure in CIF format:
```
data_Ba3Rh
_symmetry_space_group_name_H-M 'C 1 2/m 1'
_symmetry_Int_Tables_number 12
_symmetry_space_group_name_Hall '-C 2y'
_cell_length_a 7.641
_cell_length_b 4.419
_cell_length_c 11.115
_cell_angle_alpha 90.00
_cell_angle_beta 103.44
_cell_angle_gamma 90.00
loop_
_atom_site_label
_atom_site_type_symbol
_atom_site_fract_x
_atom_site_fract_y
_atom_site_fract_z
_atom_site_occupancy
Ba1 Ba 0.000 0.000 0.000 1
Ba2 Ba 0.218 0.000 0.651 1
Rh1 Rh 0.000 0.500 0.500 1
```

DFT formation energy: 0.005 eV/atom
Volume: 365.0 Å³ per cell
N(E_F): 1.04 states/eV/atom
Crystal system: monoclinic



Li2ZrTe: optimized geometry, PBEsol.

The structure in CIF format:
```
data_Li2ZrTe
_symmetry_space_group_name_H-M 'F -4 3 m'
_symmetry_Int_Tables_number 216
_symmetry_space_group_name_Hall 'F -4 2 3'
_cell_length_a 6.739
_cell_length_b 6.739
_cell_length_c 6.739
_cell_angle_alpha 90.00
_cell_angle_beta 90.00
_cell_angle_gamma 90.00
loop_
_atom_site_label
_atom_site_type_symbol
_atom_site_fract_x
_atom_site_fract_y
_atom_site_fract_z
_atom_site_occupancy
Li1 Li 0.000 0.000 0.000 1
Li2 Li 0.250 0.250 0.250 1
Zr1 Zr 0.000 0.000 0.500 1
Te1 Te 0.250 0.250 0.750 1
```

Formation energy (no corrections): -0.6 eV/f.u.
Volume: 306.0 Å³ per cell
N(E_F): 1.06 states/eV/atom
Crystal system: cubic



LaMoO3: optimized geometry, PBEsol.

The structure in CIF format:
```
data_LaMoO3
_symmetry_space_group_name_H-M 'P m -3 m'
_symmetry_Int_Tables_number 221
_symmetry_space_group_name_Hall '-P 4 2 3'
_cell_length_a 4.449
_cell_length_b 4.449
_cell_length_c 4.449
_cell_angle_alpha 90.00
_cell_angle_beta 90.00
_cell_angle_gamma 90.00
loop_
_atom_site_label
_atom_site_type_symbol
_atom_site_fract_x
_atom_site_fract_y
_atom_site_fract_z
_atom_site_occupancy
La1 La 0.000 0.000 0.000 1
Mo1 Mo 0.500 0.500 0.500 1
O1 O 0.000 0.000 0.500 1
```

Formation energy (no corrections): -2.5 eV/f.u.
Volume: 88.0 Å³ per cell
N(E_F): 1.32 states/eV/atom
Crystal system: cubic



HfCd3Ag: optimized geometry, PBEsol.

The structure in CIF format:
```
data_HfCd3Ag
_symmetry_space_group_name_H-M 'P m -3 m'
_symmetry_Int_Tables_number 221
_symmetry_space_group_name_Hall '-P 4 2 3'
_cell_length_a 4.946
_cell_length_b 4.946
_cell_length_c 4.946
_cell_angle_alpha 90.00
_cell_angle_beta 90.00
_cell_angle_gamma 90.00
loop_
_atom_site_label
_atom_site_type_symbol
_atom_site_fract_x
_atom_site_fract_y
_atom_site_fract_z
_atom_site_occupancy
Hf1 Hf 0.000 0.000 0.000 1
Cd1 Cd 0.000 0.500 0.500 1
Ag1 Ag 0.500 0.500 0.500 1
```

DFT formation energy: 0.744 eV/atom
Volume: 121.0 Å³ per cell
N(E_F): 0.56 states/eV/atom
Crystal system: cubic



HfBeSeN2: optimized geometry, PBEsol.

The structure in CIF format:
```
data_HfBeSeN2
_symmetry_space_group_name_H-M 'P 4/m m m'
_symmetry_Int_Tables_number 123
_symmetry_space_group_name_Hall '-P 4 2'
_cell_length_a 3.959
_cell_length_b 3.959
_cell_length_c 5.566
_cell_angle_alpha 90.00
_cell_angle_beta 90.00
_cell_angle_gamma 90.00
loop_
_atom_site_label
_atom_site_type_symbol
_atom_site_fract_x
_atom_site_fract_y
_atom_site_fract_z
_atom_site_occupancy
Hf1 Hf 0.000 0.000 0.000 1
Be1 Be 0.500 0.500 0.500 1
Se1 Se 0.000 0.000 0.500 1
N1 N 0.000 0.500 0.000 1
```

Formation energy (no corrections): 2.4 eV/f.u.
Volume: 87.2 Å³ per cell
N(E_F): 0.46 states/eV/atom
Crystal system: tetragonal



Li2AlPb: optimized geometry, PBEsol.

The structure in CIF format:
```
data_Li2AlPb
_symmetry_space_group_name_H-M 'I -4 m 2'
_symmetry_Int_Tables_number 119
_symmetry_space_group_name_Hall 'I -4 -2'
_cell_length_a 4.266
_cell_length_b 4.266
_cell_length_c 8.404
_cell_angle_alpha 90.00
_cell_angle_beta 90.00
_cell_angle_gamma 90.00
loop_
_atom_site_label
_atom_site_type_symbol
_atom_site_fract_x
_atom_site_fract_y
_atom_site_fract_z
_atom_site_occupancy
Li1 Li 0.000 0.000 0.000 1
Li2 Li 0.000 0.500 0.250 1
Al1 Al 0.000 0.000 0.500 1
Pb1 Pb 0.000 0.500 0.750 1
```

DFT formation energy: -0.142 eV/atom
Volume: 152.9 Å³ per cell
N(E_F): 0.38 states/eV/atom
Crystal system: tetragonal



KAu2: optimized geometry, PBEsol.

The structure in CIF format:
```
data_KAu2
_symmetry_space_group_name_H-M 'I 41/a m d'
_symmetry_Int_Tables_number 141
_cell_length_a 4.604
_cell_length_b 4.604
_cell_length_c 15.698
_cell_angle_alpha 90.00
_cell_angle_beta 90.00
_cell_angle_gamma 90.00
loop_
_symmetry_equiv_pos_as_xyz
'x,y,z'
'-x,-y,-z'
'-y+1/4,x+3/4,z+1/4'
'y+1/4,-x+3/4,-z+1/4'
'-x+1/2,-y,z+1/2'
'x+1/2,y,-z+1/2'
'y+1/4,-x+1/4,z+3/4'
'-y+1/4,x+1/4,-z+3/4'
'x,-y,-z'
'-x,y,z'
'-y+1/4,-x+1/4,-z+3/4'
'y+1/4,x+1/4,z+3/4'
'-x+1/2,y,-z+1/2'
'x+1/2,-y,z+1/2'
'y+1/4,x+3/4,-z+1/4'
'-y+1/4,-x+3/4,z+1/4'
'x+1/2,y+1/2,z+1/2'
'-x+1/2,-y+1/2,-z+1/2'
'-y+3/4,x+1/4,z+3/4'
'y+3/4,-x+1/4,-z+3/4'
'-x,-y+1/2,z'
'x,y+1/2,-z'
'y+3/4,-x+3/4,z+1/4'
'-y+3/4,x+3/4,-z+1/4'
'x+1/2,-y+1/2,-z+1/2'
'-x+1/2,y+1/2,z+1/2'
'-y+3/4,-x+3/4,-z+1/4'
'y+3/4,x+3/4,z+1/4'
'-x,y+1/2,-z'
'x,-y+1/2,z'
'y+3/4,x+1/4,-z+3/4'
'-y+3/4,-x+1/4,z+3/4'
loop_
_atom_site_label
_atom_site_type_symbol
_atom_site_fract_x
_atom_site_fract_y
_atom_site_fract_z
_atom_site_occupancy
K1 K 0.000 0.250 0.375 1
Au1 Au 0.000 0.250 0.791 1
```

DFT formation energy: -0.088 eV/atom
Volume: 332.7 Å³ per cell
N(E_F): 0.23 states/eV/atom
Crystal system: tetragonal